No. 1
Compound: Er7Ga2Ag2
Source: Alexandria via LeMat-Bulk
Functional: GGA-PBE
Structure: relaxed

Energy of formation from the pure elements   -42 meV per atom
Density   8.39 g/cm³
Electronic total energy   -4.01 eV per atom
Calculated volume   302.00 Å³ per cell

Lattice parameters (Å, degrees): 6.586 7.386 6.586 90.00 109.52 90.00
Positions (direct):
Er1 0.000 0.283 0.500
Er2 0.500 0.717 0.000
Er3 0.000 0.717 0.500
Er4 0.500 0.283 0.000
Er5 0.000 0.000 0.000
Er6 0.500 0.731 0.500
Er7 0.500 0.269 0.500
Ga1 0.831 0.500 0.831
Ga2 0.169 0.500 0.169
Ag1 0.707 0.000 0.293
Ag2 0.293 0.000 0.707

---

No. 2
Compound: Pm2YCd5
Source: Alexandria via LeMat-Bulk
Functional: GGA-PBE
Structure: relaxed

Energy of formation from the pure elements   -311 meV per atom
Density   7.61 g/cm³
Electronic total energy   -2.88 eV per atom
Calculated volume   205.25 Å³ per cell

Lattice parameters (Å, degrees): 5.154 5.154 8.544 107.55 107.55 90.00
Positions (direct):
Pm1 0.738 0.738 0.475
Pm2 0.262 0.262 0.525
Y1 0.000 0.000 0.000
Cd1 0.500 0.500 0.000
Cd2 0.884 0.384 0.769
Cd3 0.384 0.884 0.769
Cd4 0.116 0.616 0.231
Cd5 0.616 0.116 0.231